1.
Below is RbOsSN2 at its PBEsol-relaxed geometry, with properties calculated at the SCAN level.

The structure in POSCAR format:
```
RbOsSN2
1.0
3.933 0.000 0.000
0.000 3.933 0.000
0.000 0.000 4.945
Rb Os S N
1 1 1 2
Cartesian
0.000 0.000 0.000
1.966 1.966 2.473
1.966 1.966 0.000
0.000 1.966 2.473
1.966 0.000 2.473
```

Formation energy from raw total energies: 496 meV per atom
Total magnetization: 0.006 μB per cell


2.
Below is AsPb2N at its PBEsol-relaxed geometry, with properties calculated at the SCAN level.

The structure in POSCAR format:
```
AsPb2N
1.0
0.000 3.435 3.435
3.435 0.000 3.435
3.435 3.435 0.000
As Pb N
1 2 1
Cartesian
0.000 0.000 0.000
1.717 1.717 1.717
5.152 5.152 5.152
3.435 3.435 3.435
```

Formation energy from raw total energies: 954 meV per atom
Total magnetization: 1.738 μB per cell


3.
Below is Si2AsRh at its PBEsol-relaxed geometry, with properties calculated at the SCAN level.

The structure in POSCAR format:
```
Si2AsRh
1.0
2.699 0.000 0.000
0.000 3.246 0.000
0.000 0.000 6.879
Si As Rh
2 1 1
Cartesian
0.000 0.000 1.425
0.000 0.000 5.454
0.000 1.623 3.439
1.349 1.623 0.000
```

Offset from the most stable computed form: 92 meV/atom
Formation energy from raw total energies: -140 meV per atom
Total magnetization: 0.000 μB per cell


4.
Below is Dy2Ni7 at its PBEsol-relaxed geometry, with properties calculated at the SCAN level.

The structure in POSCAR format:
```
Dy2Ni7
1.0
4.845 0.000 0.000
-2.422 4.196 0.000
0.000 0.000 23.750
Dy Ni
8 28
Cartesian
0.000 2.797 0.695
0.000 2.797 4.133
0.000 2.797 7.742
0.000 2.797 11.180
2.422 1.399 12.570
2.422 1.399 16.008
2.422 1.399 19.617
2.422 1.399 23.055
0.000 0.000 0.000
0.000 0.000 3.980
0.000 0.000 7.895
0.000 0.000 11.875
0.000 0.000 15.855
0.000 0.000 19.770
0.000 1.402 13.903
0.000 1.400 17.812
0.000 1.402 21.722
-1.208 3.495 13.903
-1.210 3.496 17.812
-1.208 3.495 21.722
0.000 2.797 15.848
0.000 2.797 19.777
1.214 0.701 2.028
1.212 0.700 5.937
1.214 0.701 9.847
1.208 3.495 13.903
1.210 3.496 17.812
1.208 3.495 21.722
2.422 1.399 3.973
2.422 1.399 7.902
3.631 0.701 2.028
3.632 0.700 5.937
3.631 0.701 9.847
2.422 2.794 2.028
2.422 2.796 5.937
2.422 2.794 9.847
```

Total magnetization: 7.999 μB per cell


5.
Below is HfTeHI2 at its PBEsol-relaxed geometry, with properties calculated at the SCAN level.

The structure in POSCAR format:
```
HfTeHI2
1.0
5.408 0.000 0.000
0.000 5.408 0.000
0.000 0.000 3.808
Hf Te H I
1 1 1 2
Cartesian
0.000 0.000 0.000
2.704 2.704 0.000
2.704 2.704 1.904
0.000 2.704 1.904
2.704 0.000 1.904
```

Total magnetization: 0.000 μB per cell


6.
Below is Ba2LaAs at its PBEsol-relaxed geometry, with properties calculated at the SCAN level.

The structure in POSCAR format:
```
Ba2LaAs
1.0
3.988 0.000 0.000
0.000 3.988 0.000
0.000 0.000 9.743
Ba La As
2 1 1
Cartesian
0.000 0.000 1.703
0.000 0.000 8.040
1.994 1.994 4.872
1.994 1.994 0.000
```

Total magnetization: 0.001 μB per cell


7.
Below is Sn2PdAu at its PBEsol-relaxed geometry, with properties calculated at the SCAN level.

The structure in POSCAR format:
```
Sn2PdAu
1.0
4.141 0.000 0.000
-2.070 3.586 0.000
0.000 0.000 5.605
Sn Pd Au
2 1 1
Cartesian
0.000 2.391 1.319
2.070 1.195 4.286
0.000 0.000 0.000
0.000 0.000 2.802
```

Total magnetization: 0.000 μB per cell


8.
Below is Ni2MoCl at its PBEsol-relaxed geometry, with properties calculated at the SCAN level.

The structure in POSCAR format:
```
Ni2MoCl
1.0
-1.765 1.765 4.080
1.765 -1.765 4.080
1.765 1.765 -4.080
Ni Mo Cl
2 1 1
Cartesian
1.765 0.000 2.040
0.000 1.765 2.040
0.000 0.000 0.000
0.000 0.000 4.080
```

Offset from the most stable computed form: 636 meV/atom
Formation energy from raw total energies: 882 meV per atom
Total magnetization: 1.566 μB per cell


Total energy / eV/cell: -118.35 -177.23 -74.55 -849.09 -173.66 -144.21 -175.22 -71.68